A crystal of Zn2Te relaxed with PBEsol, computed with SCAN.

D(E_F)	0.31	states/eV/atom
space-group type	No. 12
energy above the most stable polymorph in this dataset	0.8	kJ per mole of atoms

abc: 10.747 3.897 7.143
angles: 90.00 120.68 90.00
Fractional coordinates of all 12 atoms:
Zn1 0.157 0.000 0.376
Zn2 0.248 0.500 0.217
Zn3 0.252 0.000 0.783
Zn4 0.343 0.500 0.624
Zn5 0.657 0.500 0.376
Zn6 0.748 0.000 0.217
Zn7 0.752 0.500 0.783
Zn8 0.843 0.000 0.624
Te1 0.069 0.500 0.788
Te2 0.431 0.000 0.212
Te3 0.569 0.000 0.788
Te4 0.931 0.500 0.212



A crystal of CdIn2SeS3 relaxed with PBEsol, computed with SCAN.

energy	-21.588	eV/atom
space-group type	No. 44

abc: 7.763 7.763 7.763
angles: 120.15 120.11 89.78
Fractional coordinates of all 14 atoms:
Cd1 0.000 0.000 0.000
Cd2 0.729 0.229 0.500
In1 0.356 0.603 0.753
In2 0.357 0.110 0.753
In3 0.357 0.603 0.247
In4 0.850 0.603 0.247
Se1 0.111 0.850 0.261
Se2 0.589 0.850 0.739
S1 0.119 0.393 0.274
S2 0.119 0.844 0.726
S3 0.133 0.365 0.768
S4 0.595 0.364 0.769
S5 0.595 0.826 0.231
S6 0.596 0.365 0.232



A crystal of BTeMoSe2 relaxed with PBEsol, computed with SCAN.

energy	-22.842	eV/atom
D(E_F)	0.85	states/eV/atom
space-group type	No. 123

abc: 4.715 4.715 5.582
angles: 90.00 90.00 90.00
Fractional coordinates of all 5 atoms:
B1 0.000 0.000 0.000
Te1 0.500 0.500 0.000
Mo1 0.500 0.500 0.500
Se1 0.000 0.500 0.500
Se2 0.500 0.000 0.500